Density functional theory data (PBE-GGA) for GdErAl4 after structural relaxation.

Total moment = 7.64 μB/f.u.
E_tot = -6.1178 eV/atom
Formation energy from the elements = -0.52 eV per atom

Cell: 7.861 7.861 7.861 Å, 90.00 90.00 90.00°
Space group F-43m (No. 216)
Unique sites:
Gd 0.000 0.000 0.000 (multiplicity 4)
Er 0.250 0.250 0.750 (multiplicity 4)
Al 0.125 0.125 0.375 (multiplicity 16)

Density functional theory data (PBE-GGA) for Gd2ErAl after structural relaxation.

Total moment = 15.34 μB/f.u.
E_tot = -9.2032 eV/atom
Excess energy over the best structure of this formula in the dataset = 0.111 eV/atom
Formation energy from the elements = -0.09 eV per atom

Cell: 7.570 7.570 7.570 Å, 90.00 90.00 90.00°
Space group Fm-3m (No. 225)
Unique sites:
Gd 0.250 0.250 0.250 (multiplicity 8)
Er 0.000 0.000 0.000 (multiplicity 4)
Al 0.000 0.000 0.500 (multiplicity 4)

Density functional theory data (PBE-GGA) for GdEr2Al after structural relaxation.

Total moment = 8.07 μB/f.u.
E_tot = -6.7839 eV/atom
Excess energy over the best structure of this formula in the dataset = 0.145 eV/atom
Formation energy from the elements = -0.05 eV per atom

Cell: 7.519 7.519 7.519 Å, 90.00 90.00 90.00°
Space group Fm-3m (No. 225)
Unique sites:
Gd 0.000 0.000 0.000 (multiplicity 4)
Er 0.250 0.250 0.250 (multiplicity 8)
Al 0.000 0.000 0.500 (multiplicity 4)

Density functional theory data (PBE-GGA) for GdErAlHg after structural relaxation.

Total moment = 7.62 μB/f.u.
E_tot = -6.0791 eV/atom
Formation energy from the elements = -0.41 eV per atom

Cell: 7.368 7.368 7.368 Å, 90.00 90.00 90.00°
Space group F-43m (No. 216)
Unique sites:
Gd 0.000 0.000 0.000 (multiplicity 4)
Er 0.000 0.000 0.500 (multiplicity 4)
Al 0.250 0.250 0.750 (multiplicity 4)
Hg 0.250 0.250 0.250 (multiplicity 4)

Density functional theory data (PBE-GGA) for GdErAlIr after structural relaxation.

Total moment = 7.12 μB/f.u.
E_tot = -8.3690 eV/atom
Formation energy from the elements = -0.56 eV per atom

Cell: 7.031 7.031 7.031 Å, 90.00 90.00 90.00°
Space group F-43m (No. 216)
Unique sites:
Gd 0.000 0.000 0.000 (multiplicity 4)
Er 0.000 0.000 0.500 (multiplicity 4)
Al 0.250 0.250 0.250 (multiplicity 4)
Ir 0.250 0.250 0.750 (multiplicity 4)

Density functional theory data (PBE-GGA) for LaGdErAl after structural relaxation.

Total moment = 8.16 μB/f.u.
E_tot = -6.9146 eV/atom
Formation energy from the elements = -0.09 eV per atom

Cell: 7.699 7.699 7.699 Å, 90.00 90.00 90.00°
Space group F-43m (No. 216)
Unique sites:
La 0.000 0.000 0.000 (multiplicity 4)
Gd 0.000 0.000 0.500 (multiplicity 4)
Er 0.250 0.250 0.750 (multiplicity 4)
Al 0.250 0.250 0.250 (multiplicity 4)